No. 1
Density functional theory data (PBE) for crystalline Cs2NbSe at its relaxed geometry.

```
Cs2NbSe
1.0
6.042 4.265 -7.394
-1.776 -6.909 7.647
-5.809 -5.258 -6.926
Cs Nb Se
4 2 2
Cartesian
-2.560 -8.006 -3.085
-1.350 -3.428 -0.591
-1.826 -6.145 3.995
-5.168 -9.401 1.375
-2.726 -6.745 0.423
0.000 0.000 0.000
1.183 -1.158 -7.097
2.133 -1.322 0.126
```

## Properties
DFT total energy (eV/cell): -28.8
Uncorrected formation energy (meV/atom): 215
Polymorph energy (0 for the lowest one) (meV/atom): 0


No. 2
Density functional theory data (PBE) for crystalline Mg3CrC at its relaxed geometry.

```
Mg3CrC
1.0
-3.681 -2.171 3.023
-1.432 -3.098 -3.969
3.435 -3.618 1.584
Mg Cr C
3 1 1
Cartesian
-0.716 -1.549 -1.985
-1.840 -1.086 1.511
1.718 -1.809 0.792
0.000 0.000 0.000
-0.839 -4.444 0.319
```

## Properties
DFT total energy (eV/cell): -13.6
Calculated formation energy (eV per atom): 2.007


No. 3
Density functional theory data (PBE) for crystalline Mg2TlTc2 at its relaxed geometry.

```
Mg2TlTc2
1.0
-3.034 -1.390 2.103
2.212 -3.046 1.177
1.566 1.190 6.745
Mg Tc Tl
2 2 1
Cartesian
1.683 -2.037 4.781
-0.940 -1.210 5.244
-0.062 -1.616 2.541
0.806 -1.631 7.483
0.000 0.000 0.000
```

## Properties
DFT total energy (eV/cell): -22.4
Polymorph energy (0 for the lowest one) (meV/atom): 472
Calculated formation energy (eV per atom): 0.773


No. 4
Density functional theory data (PBE) for crystalline TmPu2Tc at its relaxed geometry.

```
TmPu2Tc
1.0
-1.782 -1.781 -2.116
-1.389 -1.600 2.517
-6.333 5.975 0.303
Pu Tc Tm
2 1 1
Cartesian
-5.051 4.766 0.242
-1.281 1.209 0.061
-1.586 -1.691 0.200
-4.752 1.297 0.352
```

## Properties
DFT total energy (eV/cell): -43.2
Polymorph energy (0 for the lowest one) (meV/atom): 0
Calculated formation energy (eV per atom): 0.082


No. 5
Density functional theory data (PBE) for crystalline TaFeAg2H at its relaxed geometry.

```
TaFeAg2H
1.0
-2.761 -2.599 -0.885
1.395 -2.623 3.348
-2.462 1.789 2.428
Ag Ta H Fe
2 1 1 1
Cartesian
-1.380 -1.299 -0.443
-1.231 0.894 1.214
-1.914 -1.716 2.445
0.000 0.000 0.000
0.698 -1.311 1.674
```

## Properties
DFT total energy (eV/cell): -26.3